# PBE Cu3AgAu, optimized geometry
# Calculated total energy: -2.871 eV per atom
data_Cu3AgAu
_cell_length_a 4.759
_cell_length_b 4.759
_cell_length_c 4.759
_cell_angle_alpha 90.00
_cell_angle_beta 90.00
_cell_angle_gamma 90.00
_symmetry_space_group_name_H-M 'P 1'
_symmetry_Int_Tables_number 1
loop_
_symmetry_equiv_pos_as_xyz
'x,y,z'
loop_
_atom_site_label
_atom_site_type_symbol
_atom_site_fract_x
_atom_site_fract_y
_atom_site_fract_z
Cu1 Cu 0.500 0.000 0.000
Cu2 Cu 0.000 0.000 0.500
Cu3 Cu 0.000 0.500 0.000
Au1 Au 0.000 0.000 0.000
Ag1 Ag 0.500 0.500 0.500